No. 1
A geometry-optimized UTlTc structure, computed with PBE.

Cell: 4.744 4.744 4.744 Å, 60.00 60.00 60.00°
Fractional coordinates of all 3 atoms:
U1 0.750 0.750 0.750
Tc1 0.250 0.250 0.250
Tl1 0.000 0.000 0.000

Summary:
Crystal system = cubic
Symmetry = F-43m (216)
Energy relative to the lowest polymorph listed for this composition = 16.5 meV/atom



No. 2
A geometry-optimized PaGeBi structure, computed with PBE.

Cell: 5.035 5.035 5.035 Å, 60.00 60.00 60.00°
Fractional coordinates of all 3 atoms:
Bi1 0.250 0.250 0.250
Ge1 0.750 0.750 0.750
Pa1 0.000 0.000 0.000

Summary:
Crystal system = cubic
Symmetry = F-43m (216)
Energy relative to the lowest polymorph listed for this composition = 0.0 meV/atom



No. 3
A geometry-optimized KPtAu structure, computed with PBE.

Cell: 4.809 4.809 4.809 Å, 60.00 60.00 60.00°
Fractional coordinates of all 3 atoms:
K1 0.750 0.750 0.750
Pt1 0.000 0.000 0.000
Au1 0.250 0.250 0.250

Summary:
Crystal system = cubic
Symmetry = F-43m (216)
Energy relative to the lowest polymorph listed for this composition = 0.0 meV/atom



No. 4
A geometry-optimized HoTlHgTe3 structure, computed with PBE.

Cell: 12.770 4.525 13.682 Å, 90.00 90.00 90.00°
Fractional coordinates of all 24 atoms:
Tl1 0.321 0.500 0.490
Tl2 0.821 0.500 0.010
Tl3 0.179 0.000 0.990
Tl4 0.679 0.000 0.510
Ho1 0.971 0.500 0.313
Ho2 0.471 0.500 0.187
Ho3 0.529 0.000 0.813
Ho4 0.029 0.000 0.687
Te1 0.764 0.000 0.832
Te2 0.082 0.000 0.431
Te3 0.472 0.000 0.346
Te4 0.972 0.000 0.154
Te5 0.236 0.500 0.168
Te6 0.736 0.500 0.332
Te7 0.264 0.000 0.668
Te8 0.418 0.500 0.931
Te9 0.528 0.500 0.654
Te10 0.582 0.000 0.069
Te11 0.918 0.500 0.569
Te12 0.028 0.500 0.846
Hg1 0.747 0.500 0.700
Hg2 0.753 0.000 0.200
Hg3 0.247 0.500 0.800
Hg4 0.253 0.000 0.300

Summary:
Crystal system = orthorhombic
Symmetry = Pnma (62)
Energy relative to the lowest polymorph listed for this composition = 62.3 meV/atom



No. 5
A geometry-optimized NbInB structure, computed with PBE.

Cell: 4.314 4.314 4.314 Å, 60.00 60.00 60.00°
Fractional coordinates of all 3 atoms:
B1 0.250 0.250 0.250
In1 0.750 0.750 0.750
Nb1 0.000 0.000 0.000

Summary:
Crystal system = cubic
Symmetry = F-43m (216)
Energy relative to the lowest polymorph listed for this composition = 0.0 meV/atom



No. 6
A geometry-optimized TaCoPbW structure, computed with PBE.

Cell: 4.584 4.584 4.584 Å, 60.00 60.00 60.00°
Fractional coordinates of all 4 atoms:
W1 0.250 0.250 0.250
Pb1 0.000 0.000 0.000
Ta1 0.500 0.500 0.500
Co1 0.750 0.750 0.750

Summary:
Crystal system = cubic
Symmetry = F-43m (216)
Energy relative to the lowest polymorph listed for this composition = 0.0 meV/atom



No. 7
A geometry-optimized ZrFeSiAg structure, computed with PBE.

Cell: 4.474 4.474 4.474 Å, 60.00 60.00 60.00°
Fractional coordinates of all 4 atoms:
Zr1 0.500 0.500 0.500
Ag1 0.250 0.250 0.250
Fe1 0.750 0.750 0.750
Si1 0.000 0.000 0.000

Summary:
Crystal system = cubic
Symmetry = F-43m (216)
Energy relative to the lowest polymorph listed for this composition = 26.9 meV/atom



No. 8
A geometry-optimized Ta4Sb3Mo2C3 structure, computed with PBE.

Cell: 5.756 5.756 13.495 Å, 102.67 102.67 60.01°
Fractional coordinates of all 24 atoms:
Mo1 0.372 0.531 0.083
Mo2 0.628 0.469 0.917
Mo3 0.531 0.372 0.583
Mo4 0.469 0.628 0.417
Ta1 0.853 0.697 0.585
Ta2 0.797 0.979 0.415
Ta3 0.979 0.797 0.915
Ta4 0.303 0.147 0.915
Ta5 0.697 0.853 0.085
Ta6 0.203 0.021 0.585
Ta7 0.021 0.203 0.085
Ta8 0.147 0.303 0.415
C1 0.330 0.842 0.000
C2 0.670 0.158 0.000
C3 0.842 0.330 0.500
C4 0.158 0.670 0.500
C5 0.000 0.500 0.000
C6 0.500 0.000 0.500
Sb1 0.907 0.093 0.750
Sb2 0.417 0.260 0.249
Sb3 0.093 0.907 0.250
Sb4 0.740 0.583 0.251
Sb5 0.583 0.740 0.751
Sb6 0.260 0.417 0.749

Summary:
Crystal system = monoclinic
Symmetry = C2/c (15)
Energy = -9.267 eV/atom



No. 9
A geometry-optimized Sm2GaSi structure, computed with PBE.

Cell: 4.022 5.919 5.919 Å, 43.77 90.00 90.00°
Fractional coordinates of all 4 atoms:
Sm1 0.500 0.860 0.860
Sm2 0.000 0.140 0.140
Ga1 0.000 0.427 0.427
Si1 0.500 0.574 0.574

Summary:
Crystal system = orthorhombic
Symmetry = Amm2 (38)
Energy = -5.193 eV/atom



No. 10
A geometry-optimized Al8Co7 structure, computed with PBE.

Cell: 8.822 8.822 4.892 Å, 90.00 90.00 90.00°
Fractional coordinates of all 30 atoms:
Al1 0.149 0.466 0.000
Al2 0.351 0.966 0.500
Al3 0.534 0.851 0.000
Al4 0.649 0.034 0.500
Al5 0.466 0.149 0.000
Al6 0.748 0.054 0.000
Al7 0.752 0.554 0.500
Al8 0.248 0.446 0.500
Al9 0.554 0.752 0.500
Al10 0.252 0.946 0.000
Al11 0.446 0.248 0.500
Al12 0.966 0.351 0.500
Al13 0.054 0.748 0.000
Al14 0.034 0.649 0.500
Al15 0.946 0.252 0.000
Al16 0.851 0.534 0.000
Co1 0.500 0.500 0.500
Co2 0.809 0.809 0.745
Co3 0.691 0.309 0.755
Co4 0.407 0.407 0.000
Co5 0.691 0.309 0.245
Co6 0.309 0.691 0.755
Co7 0.000 0.000 0.000
Co8 0.191 0.191 0.255
Co9 0.093 0.907 0.500
Co10 0.907 0.093 0.500
Co11 0.593 0.593 0.000
Co12 0.809 0.809 0.255
Co13 0.309 0.691 0.245
Co14 0.191 0.191 0.745

Summary:
Crystal system = tetragonal
Symmetry = P4_2/mnm (136)
Energy relative to the lowest polymorph listed for this composition = 91.7 meV/atom



No. 11
A geometry-optimized LiGdSc structure, computed with PBE.

Cell: 4.874 4.874 4.874 Å, 60.00 60.00 60.00°
Fractional coordinates of all 3 atoms:
Sc1 0.000 0.000 0.000
Gd1 0.500 0.500 0.500
Li1 0.250 0.250 0.250

Summary:
Crystal system = cubic
Symmetry = F-43m (216)
Energy relative to the lowest polymorph listed for this composition = 0.0 meV/atom



No. 12
A geometry-optimized HfBeInCo structure, computed with PBE.

Cell: 4.440 4.440 4.440 Å, 60.00 60.00 60.00°
Fractional coordinates of all 4 atoms:
Hf1 0.250 0.250 0.250
Co1 0.750 0.750 0.750
Be1 0.500 0.500 0.500
In1 0.000 0.000 0.000

Summary:
Crystal system = cubic
Symmetry = F-43m (216)
Energy relative to the lowest polymorph listed for this composition = 336.2 meV/atom



No. 13
A geometry-optimized Er2Ga4PtAu structure, computed with PBE.

Cell: 6.624 5.539 5.539 Å, 47.16 90.00 90.00°
Fractional coordinates of all 8 atoms:
Ga1 0.195 0.376 0.376
Ga2 0.805 0.376 0.376
Ga3 0.704 0.625 0.625
Ga4 0.296 0.625 0.625
Au1 0.500 0.202 0.202
Er1 0.000 0.087 0.087
Er2 0.500 0.911 0.911
Pt1 0.000 0.799 0.799

Summary:
Crystal system = orthorhombic
Symmetry = Amm2 (38)
Energy = -4.613 eV/atom



No. 14
A geometry-optimized ReAs structure, computed with PBE.

Cell: 3.948 3.948 6.433 Å, 90.00 90.00 120.00°
Fractional coordinates of all 4 atoms:
Re1 0.000 0.000 0.375
Re2 0.333 0.667 0.875
As1 0.333 0.667 0.500
As2 0.000 0.000 0.000

Summary:
Crystal system = hexagonal
Symmetry = P6_3mc (186)
Energy relative to the lowest polymorph listed for this composition = 592.0 meV/atom



No. 15
A geometry-optimized TbHoCo2Pb structure, computed with PBE.

Cell: 3.849 7.341 7.341 Å, 30.33 90.00 90.00°
Fractional coordinates of all 5 atoms:
Ho1 0.000 0.641 0.641
Pb1 0.500 0.001 0.001
Tb1 0.000 0.360 0.360
Co1 0.500 0.206 0.206
Co2 0.500 0.793 0.793

Summary:
Crystal system = orthorhombic
Symmetry = Amm2 (38)
Energy = -5.767 eV/atom



No. 16
A geometry-optimized HfTa2Ni structure, computed with PBE.

Cell: 4.581 4.581 4.581 Å, 60.00 60.00 60.00°
Fractional coordinates of all 4 atoms:
Ta1 0.750 0.750 0.750
Ta2 0.000 0.000 0.000
Hf1 0.250 0.250 0.250
Ni1 0.500 0.500 0.500

Summary:
Crystal system = cubic
Energy of formation = -0.01 eV per atom
Symmetry = F-43m (216)



No. 17
A geometry-optimized Y2FeAgC structure, computed with PBE.

Cell: 5.020 5.020 3.674 Å, 90.00 90.00 90.00°
Fractional coordinates of all 5 atoms:
Y1 0.000 0.500 0.000
Y2 0.500 0.000 0.000
Ag1 0.000 0.000 0.500
Fe1 0.500 0.500 0.500
C1 0.500 0.500 0.000

Summary:
Crystal system = tetragonal
Symmetry = P4/mmm (123)
Energy = -6.980 eV/atom



No. 18
A geometry-optimized Zn2SnGePt4 structure, computed with PBE.

Cell: 4.375 4.375 6.712 Å, 90.00 90.00 90.00°
Fractional coordinates of all 8 atoms:
Sn1 0.500 0.500 0.500
Pt1 0.000 0.500 0.766
Pt2 0.500 0.000 0.234
Pt3 0.000 0.500 0.234
Pt4 0.500 0.000 0.766
Zn1 0.500 0.500 0.000
Zn2 0.000 0.000 0.500
Ge1 0.000 0.000 0.000

Summary:
Crystal system = tetragonal
Symmetry = P4/mmm (123)
Energy = -4.773 eV/atom



No. 19
A geometry-optimized YHfNiPb structure, computed with PBE.

Cell: 4.976 4.976 4.976 Å, 60.00 60.00 60.00°
Fractional coordinates of all 4 atoms:
Y1 0.500 0.500 0.500
Hf1 0.250 0.250 0.250
Ni1 0.750 0.750 0.750
Pb1 0.000 0.000 0.000

Summary:
Crystal system = cubic
Symmetry = F-43m (216)
Energy = -6.103 eV/atom



No. 20
A geometry-optimized Ho5Zn4Hg structure, computed with PBE.

Cell: 3.564 3.564 18.027 Å, 90.00 90.00 90.00°
Fractional coordinates of all 10 atoms:
Ho1 0.500 0.500 0.305
Ho2 0.500 0.500 0.500
Ho3 0.500 0.500 0.695
Ho4 0.500 0.500 0.890
Ho5 0.500 0.500 0.110
Hg1 0.000 0.000 0.000
Zn1 0.000 0.000 0.598
Zn2 0.000 0.000 0.792
Zn3 0.000 0.000 0.208
Zn4 0.000 0.000 0.402

Summary:
Crystal system = tetragonal
Energy of formation = -0.38 eV per atom
Symmetry = P4/mmm (123)



No. 21
A geometry-optimized Rb3ErBr6 structure, computed with PBE.

Cell: 9.200 9.200 9.200 Å, 50.95 50.95 50.95°
Fractional coordinates of all 10 atoms:
Br1 0.231 0.231 0.738
Br2 0.738 0.231 0.231
Br3 0.262 0.769 0.769
Br4 0.231 0.738 0.231
Br5 0.769 0.262 0.769
Br6 0.769 0.769 0.262
Rb1 0.712 0.712 0.712
Rb2 0.288 0.288 0.288
Rb3 0.500 0.500 0.500
Er1 0.000 0.000 0.000

Summary:
Crystal system = trigonal
Symmetry = R-3m (166)
Energy relative to the lowest polymorph listed for this composition = 31.5 meV/atom



| no. | density (g/cm³) |
| --- | --- |
| 1 | 11.9 |
| 2 | 9.4 |
| 3 | 9.1 |
| 4 | 8.0 |
| 5 | 6.4 |
| 6 | 15.4 |
| 7 | 7.4 |
| 8 | 11.7 |
| 9 | 6.8 |
| 10 | 5.5 |
| 11 | 4.2 |
| 12 | 9.7 |
| 13 | 11.2 |
| 14 | 10.0 |
| 15 | 10.3 |
| 16 | 14.6 |
| 17 | 6.3 |
| 18 | 14.3 |
| 19 | 10.2 |
| 20 | 9.3 |
| 21 | 3.5 |